Entry from Alexandria: LiY2Si4Pd3 after structural relaxation (GGA-PBE).

The structure in POSCAR format:
```
LiY2Si4Pd3
1.0
4.112 0.000 0.000
0.000 4.112 0.000
0.000 0.000 10.231
Li Y Si Pd
1 2 4 3
Direct
0.500 0.500 0.500 Li
0.000 0.500 0.748 Y
0.500 0.000 0.252 Y
0.000 0.000 0.000 Si
0.500 0.000 0.638 Si
0.500 0.500 0.000 Si
0.000 0.500 0.362 Si
0.500 0.000 0.874 Pd
0.000 0.000 0.500 Pd
0.000 0.500 0.126 Pd
```

Properties
Its uncorrected formation energy is -0.78 eV/atom. Its electronic total energy is -59.95 eV for the cell shown. For the calculated density, the calculation gives 5.92 g/cm³. The density of states at the Fermi level is 0.326 states/eV per atom.

Entry from Alexandria: LiYSi2Pd after structural relaxation (GGA-PBE).

The structure in POSCAR format:
```
LiYSi2Pd
1.0
3.995 0.000 0.000
0.000 3.995 0.000
-1.997 -1.997 5.296
Y Pd Li Si
1 1 1 2
Direct
0.000 0.000 0.000 Y
0.750 0.250 0.500 Pd
0.250 0.750 0.500 Li
0.390 0.390 0.780 Si
0.610 0.610 0.220 Si
```

Properties
Its uncorrected formation energy is -0.78 eV/atom. Its electronic total energy is -28.34 eV for the cell shown. For the calculated density, the calculation gives 5.08 g/cm³. The density of states at the Fermi level is 0.405 states/eV per atom.

no.,size of the total moment (μB/f.u.)
1,0.0
2,0.0